# 1
KSr2Tc: optimized geometry, PBE.

abc: 5.9163 5.9163 5.9163
angles: 60.00 60.00 60.00
With the nearest neighbours (Å) after each atom.
Element x y z (fractional)
K 0.0000 0.0000 0.0000  4 Tc 3.62, 4 Sr 3.62
Sr 0.2500 0.2500 0.2500  4 K 3.62, 4 Sr 3.62
Sr 0.5000 0.5000 0.5000  4 Tc 3.62, 4 Sr 3.62
Tc 0.7500 0.7500 0.7500  4 K 3.62, 4 Sr 3.62

space group = F-43m
raw total energy = -0.099 hartree per atom
theoretical density = 3.54 g cm⁻³

# 2
TiIn2I: optimized geometry, PBE.

abc: 8.4517 8.4517 8.4517
angles: 130.36 130.36 72.82
With the nearest neighbours (Å) after each atom.
Element x y z (fractional)
Ti 0.0000 0.0000 0.0000  4 In 2.85
Ti 0.7500 0.2500 0.5000  4 In 2.85
In 0.0796 0.6250 0.9546  2 Ti 2.85
In 0.3750 0.3296 0.4546  2 Ti 2.85
In 0.6704 0.1250 0.0454  2 Ti 2.85
In 0.8750 0.9204 0.5454  2 Ti 2.85
I 0.2500 0.7500 0.5000  4 In 3.23
I 0.5000 0.5000 0.0000  4 In 3.23

space group = I-42d
raw total energy = -0.114 hartree per atom
theoretical density = 3.92 g cm⁻³
uncorrected formation energy = 2.6 eV/f.u.

# 3
HoMnTc2: optimized geometry, PBE.

abc: 9.1092 9.1092 9.1092
angles: 18.48 18.48 18.48
With the nearest neighbours (Å) after each atom.
Element x y z (fractional)
Ho 0.0000 0.0000 0.0000  6 Ho 2.93, 6 Tc 3.06
Mn 0.5000 0.5000 0.5000  6 Tc 2.56
Tc 0.2385 0.2385 0.2385  3 Mn 2.56
Tc 0.7615 0.7615 0.7615  3 Mn 2.56

space group = R-3m
raw total energy = -0.300 hartree per atom
theoretical density = 10.41 g cm⁻³

# 4
CaVIr: optimized geometry, PBE.

abc: 6.1454 6.1454 6.1454
angles: 150.31 148.25 44.02
With the nearest neighbours (Å) after each atom.
Element x y z (fractional)
Ca 0.0000 0.0000 0.0000  4 Ca 3.15-3.36, 5 V 3.21-3.39, 5 Ir 3.21-3.46
V 0.2818 0.2818 0.0000  4 Ir 2.50
Ir 0.6963 0.6963 0.0000  4 V 2.50

space group = Imm2
raw total energy = -0.247 hartree per atom
theoretical density = 7.80 g cm⁻³